i) This record from the Alexandria database describes a geometry-optimized SrAg4F8 structure. The functional is GGA-PBE.

abc: 5.8552 5.8552 5.8552
angles: 90.00 90.00 90.00
Last column: nearest neighbours and their distance in Å.
Fractional positions:
Sr 0.5000 0.5000 0.5000  8 F 2.47
Ag 0.0000 0.5000 0.5000  8 F 2.51
Ag 0.0000 0.0000 0.0000  8 F 2.60
Ag 0.5000 0.5000 0.0000  8 F 2.51
Ag 0.5000 0.0000 0.5000  8 F 2.51
F 0.2568 0.7432 0.7432  1 Sr 2.47, 4 Ag 2.51-2.60
F 0.7432 0.2568 0.7432  1 Sr 2.47, 4 Ag 2.51-2.60
F 0.7432 0.7432 0.2568  1 Sr 2.47, 4 Ag 2.51-2.60
F 0.2568 0.2568 0.2568  1 Sr 2.47, 4 Ag 2.51-2.60
F 0.2568 0.7432 0.2568  1 Sr 2.47, 4 Ag 2.51-2.60
F 0.7432 0.2568 0.2568  1 Sr 2.47, 4 Ag 2.51-2.60
F 0.7432 0.7432 0.7432  1 Sr 2.47, 4 Ag 2.51-2.60
F 0.2568 0.2568 0.7432  1 Sr 2.47, 4 Ag 2.51-2.60

Results
**Total moment**: 2.3 μB/f.u.
**D(E_F)**: 21.0 states/eV per cell

***

ii) This record from the Alexandria database describes a geometry-optimized SrAg4F8 structure. The functional is GGA-PBE.

abc: 7.0914 7.0914 7.1839
angles: 60.43 60.43 60.00
Last column: nearest neighbours and their distance in Å.
Fractional positions:
Sr 0.5000 0.5000 0.5000  6 F 2.48
Ag 0.0000 0.5000 0.0000  6 F 2.24-2.36
Ag 0.5000 0.5000 0.0000  6 F 2.24-2.36
Ag 0.5000 0.0000 0.0000  6 F 2.24-2.36
Ag 0.0000 0.0000 0.0000  6 F 2.59
F 0.7099 0.2559 0.7784  3 Ag 2.36-2.59, 1 Sr 2.48
F 0.7441 0.2901 0.2216  3 Ag 2.36-2.59, 1 Sr 2.48
F 0.2901 0.7441 0.2216  3 Ag 2.36-2.59, 1 Sr 2.48
F 0.7441 0.7441 0.2216  3 Ag 2.36-2.59, 1 Sr 2.48
F 0.7179 0.7179 0.8463  3 Ag 2.24
F 0.2821 0.2821 0.1537  3 Ag 2.24
F 0.2559 0.2559 0.7784  3 Ag 2.36-2.59, 1 Sr 2.48
F 0.2559 0.7099 0.7784  3 Ag 2.36-2.59, 1 Sr 2.48

Results
**Total moment**: 2.2 μB/f.u.
**D(E_F)**: 13.3 states/eV per cell

***

Least stable of them? i).